(1)
The following is a DFT calculation (GGA-PBE) of a relaxed structure of Ac6Si2PtI3.

a = 20.9510 Å, b = 4.5006 Å, c = 9.9138 Å
α = 90.00°, β = 106.90°, γ = 90.00°
Closest atoms and distances in Å follow each position.
Space group C2/m (No. 12)
Symmetry-distinct sites (fractional):
Ac  0.0101  0.0000  0.2123 (multiplicity 4)  2 Pt 3.05, 1 Si 3.14
Ac  0.1543  0.5000  0.1108 (multiplicity 4)  1 Pt 3.10, 2 Si 3.12
Ac  0.1778  0.5000  0.5552 (multiplicity 4)  3 Si 3.10-3.13
Si  0.1664  0.0000  0.3346 (multiplicity 4)  6 Ac 3.10-3.14
Pt  0.0000  0.5000  0.0000 (multiplicity 2)  6 Ac 3.05-3.10
I  0.0000  0.5000  0.5000 (multiplicity 2)  6 Ac 3.60-3.69
I  0.1708  0.0000  0.8308 (multiplicity 4)  6 Ac 3.54-3.69


(2)
The following is a DFT calculation (GGA-PBE) of a relaxed structure of InRe3Te.

a = 4.8426 Å, b = 4.8426 Å, c = 4.8426 Å
α = 90.00°, β = 90.00°, γ = 90.00°
Closest atoms and distances in Å follow each position.
Space group Pm-3m (No. 221)
Symmetry-distinct sites (fractional):
In  0.0000  0.0000  0.0000 (multiplicity 1)  12 Re 3.42
Re  0.0000  0.5000  0.5000 (multiplicity 3)  2 Te 2.42
Te  0.5000  0.5000  0.5000 (multiplicity 1)  6 Re 2.42

Summary:
**Relative energy among the computed polymorphs**: 0 meV per atom


| no. | DFT total energy (eV/f.u.) | formation energy from raw total energies (eV/atom) | mass density (Mg/m³) |
| --- | --- | --- | --- |
| 1 | -58.0 | -0.98 | 7.404 |
| 2 | -31.6 | 2.33 | 11.713 |